# MnTcOF2, relaxed, DFT PBE+U
# Total moment = 5.6 Bohr magnetons per cell
# Polymorph energy (0 for the lowest one) = 0 kJ/mol of formula units
# Space-group type = P4/mmm, No. 123
data_MnTcOF2
_chemical_formula_sum 'Mn1 Tc1 O1 F2'
_space_group_name_H-M_alt 'P 1'
_space_group_IT_number 1
_cell_length_a 4.3396
_cell_length_b 4.3396
_cell_length_c 3.7790
_cell_angle_alpha 90.00
_cell_angle_beta 90.00
_cell_angle_gamma 90.00
loop_
_space_group_symop_operation_xyz
'x,y,z'
loop_
_atom_site_label
_atom_site_type_symbol
_atom_site_fract_x
_atom_site_fract_y
_atom_site_fract_z
_atom_site_occupancy
Mn1 Mn 0.5000 0.5000 0.5000 1
Tc1 Tc 0.0000 0.0000 0.0000 1
O1 O 0.0000 0.0000 0.5000 1
F1 F 0.0000 0.5000 0.0000 1
F2 F 0.5000 0.0000 0.0000 1